Record 1
BaZr2TaCr after structural relaxation. Source: Alexandria via LeMat-Bulk, functional PBE.

Structure (CIF):
```
data_BaZr2TaCr
_space_group_name_H-M_alt 'P 4/m m m'
_space_group_IT_number 123
_space_group_name_Hall '-P 4 2'
_cell_length_a 5.156
_cell_length_b 5.156
_cell_length_c 4.765
_cell_angle_alpha 90.00
_cell_angle_beta 90.00
_cell_angle_gamma 90.00
loop_
_atom_site_label
_atom_site_type_symbol
_atom_site_fract_x
_atom_site_fract_y
_atom_site_fract_z
Ba1 Ba 0.000 0.000 0.000
Zr1 Zr 0.000 0.500 0.500
Ta1 Ta 0.500 0.500 0.000
Cr1 Cr 0.500 0.500 0.500
```

## Properties
The volume is 126.7 Å³/cell. The calculated total energy comes out at -7.37 eV/atom.


Record 2
BaCr2Tc after structural relaxation. Source: Alexandria via LeMat-Bulk, functional PBE.

Structure (CIF):
```
data_BaCr2Tc
_space_group_name_H-M_alt 'P 4/m m m'
_space_group_IT_number 123
_space_group_name_Hall '-P 4 2'
_cell_length_a 4.497
_cell_length_b 4.497
_cell_length_c 4.330
_cell_angle_alpha 90.00
_cell_angle_beta 90.00
_cell_angle_gamma 90.00
loop_
_atom_site_label
_atom_site_type_symbol
_atom_site_fract_x
_atom_site_fract_y
_atom_site_fract_z
Ba1 Ba 0.000 0.000 0.000
Cr1 Cr 0.000 0.500 0.500
Tc1 Tc 0.500 0.500 0.000
```

## Properties
The volume is 87.6 Å³/cell. The calculation puts the relative energy among the computed polymorphs at 0.7366 eV per atom. The calculated total energy comes out at -6.51 eV/atom.


- The lowest calculated total energy belongs to which entry?
  BaZr2TaCr


- Which of these has the highest volume?
  BaZr2TaCr